# 1
Below is crystalline ErTlS2 at its relaxed geometry, with properties calculated at the PBE level.

Summary:
The magnetic moment is 0.00 μB per formula unit. Its total DFT energy (no corrections) is -5.27 eV per atom.

a = 3.9814 Å, b = 3.9814 Å, c = 22.8628 Å
α = 90.00°, β = 90.00°, γ = 120.00°
Space group R3m (No. 160, hexagonal axes)
Unique sites:
Er 0.0000 0.0000 0.0000
Tl 0.0000 0.0000 0.1698
S 0.0000 0.0000 0.3975
S 0.0000 0.0000 0.6010

# 2
Below is crystalline ErTlS3 at its relaxed geometry, with properties calculated at the PBE level.

Summary:
The magnetic moment is 0.00 μB per formula unit. Its total DFT energy (no corrections) is -4.86 eV per atom.

a = 6.880 Å, b = 6.889 Å, c = 7.247 Å
α = 90.20°, β = 118.10°, γ = 119.86°
Space group P-1 (No. 2)
Unique sites:
Er 0.197 0.348 0.046
Tl 0.227 0.863 0.590
S 0.008 0.054 0.251
S 0.296 0.743 0.251
S 0.304 0.547 0.750

# 3
Below is crystalline Er4TlS6 at its relaxed geometry, with properties calculated at the PBE level.

Summary:
The magnetic moment is 0.00 μB per formula unit. Its total DFT energy (no corrections) is -5.92 eV per atom.

a = 3.920 Å, b = 13.025 Å, c = 20.802 Å
α = 90.00°, β = 90.00°, γ = 90.00°
Space group Cmcm (No. 63)
Unique sites:
Er 0.000 0.098 0.133
Er 0.000 0.368 0.041
Tl 0.000 0.157 0.750
S 0.000 0.000 0.000
S 0.000 0.163 0.250
S 0.000 0.271 0.579
S 0.000 0.465 0.151